VASP calculation (GGA-PBE) on an optimized crystal structure of Ca2IrOs.

It has space group Pmmm (No. 47), with a = 2.851 Å, b = 4.296 Å, c = 6.363 Å, α = 90.00°, β = 90.00° and γ = 90.00°. The asymmetric unit holds Ca at (0.000, 0.000, 0.248), Ir at (0.500, 0.500, 0.000) and Os at (0.500, 0.500, 0.500).

The spin magnetization comes out at 0.0672 μB/atom. The formation energy comes out at 1.6 eV/f.u. The energy relative to the lowest polymorph listed for this composition is 38.3 kJ per mole of atoms.